# 1
## Ce2Ga4CoGe2 (PBE)

Data for Ce2Ga4CoGe2 after structural relaxation.

POSCAR file:
```
Ce2Ga4CoGe2
1.0
-3.084 3.084 4.418
3.084 -3.084 4.418
3.084 3.084 -4.418
Ce Ga Co Ge
2 4 1 2
direct
0.250 0.750 0.500
0.750 0.250 0.500
0.222 0.222 0.444
0.222 0.778 0.000
0.778 0.222 0.000
0.778 0.778 0.556
0.500 0.500 0.000
0.227 0.227 0.000
0.773 0.773 0.000
```

Summary:
SG	I4/mmm

=====

# 2
## Ce2GaCo3Ge4 (PBE)

Data for Ce2GaCo3Ge4 after structural relaxation.

POSCAR file:
```
Ce2GaCo3Ge4
1.0
4.097 0.000 0.000
0.000 4.097 0.000
0.000 0.000 10.041
Ce Ga Co Ge
2 1 3 4
direct
0.000 0.500 0.239
0.500 0.000 0.761
0.000 0.000 0.500
0.000 0.500 0.878
0.500 0.000 0.122
0.500 0.500 0.500
0.000 0.000 0.000
0.000 0.500 0.647
0.500 0.000 0.353
0.500 0.500 0.000
```

Summary:
SG	P-4m2

=====

# 3
## CeGa2Co2Ge (PBE)

Data for CeGa2Co2Ge after structural relaxation.

POSCAR file:
```
CeGa2Co2Ge
1.0
4.358 0.000 0.000
0.000 4.358 0.000
0.000 0.000 5.662
Ce Ga Co Ge
1 2 2 1
direct
0.000 0.000 0.000
0.500 0.500 0.245
0.500 0.500 0.755
0.000 0.500 0.500
0.500 0.000 0.500
0.000 0.000 0.500
```

Summary:
SG	P4/mmm

=====

# 4
## CeHoGaCo (PBE)

Data for CeHoGaCo after structural relaxation.

POSCAR file:
```
CeHoGaCo
1.0
0.000 3.495 3.495
3.495 0.000 3.495
3.495 3.495 0.000
Ce Ho Ga Co
1 1 1 1
direct
0.000 0.000 0.000
0.500 0.500 0.500
0.250 0.250 0.250
0.750 0.750 0.750
```

Summary:
SG	F-43m

=====

# 5
## Ce2GaCoIr6 (PBE)

Data for Ce2GaCoIr6 after structural relaxation.

POSCAR file:
```
Ce2GaCoIr6
1.0
0.000 4.578 4.578
4.578 0.000 4.578
4.578 4.578 0.000
Ce Ga Co Ir
2 1 1 6
direct
0.250 0.250 0.250
0.750 0.750 0.750
0.000 0.000 0.000
0.500 0.500 0.500
0.252 0.252 0.748
0.252 0.748 0.252
0.252 0.748 0.748
0.748 0.252 0.252
0.748 0.252 0.748
0.748 0.748 0.252
```

Summary:
SG	Fm-3m

=====

# 6
## CeGa3CoIr (PBE)

Data for CeGa3CoIr after structural relaxation.

POSCAR file:
```
CeGa3CoIr
1.0
3.061 -5.848 0.000
3.061 5.848 0.000
0.000 0.000 5.865
Ce Ga Co Ir
2 6 2 2
direct
0.235 0.765 0.750
0.765 0.235 0.250
0.215 0.215 0.000
0.215 0.215 0.500
0.356 0.644 0.250
0.644 0.356 0.750
0.785 0.785 0.000
0.785 0.785 0.500
0.425 0.575 0.750
0.575 0.425 0.250
0.145 0.855 0.250
0.855 0.145 0.750
```

Summary:
SG	Cmcm

=====

What density of states at the Fermi level values result from the calculations? In sequence: 9.93 8.01 11.16 4.70 11.91 4.75 states/eV/f.u..
What final energy values result from the calculations? In sequence: -0.3692 -0.4425 -0.3919 -0.3985 -0.5327 -0.4095 Ry/atom.
What calculated formation energy values result from the calculations? In sequence: -544 -552 -196 -261 269 -408 meV per atom.